1.
# CaAsRu3 | Alexandria | PBE | optimized geometry
data_CaAsRu3
_chemical_formula_sum 'Ca1 As1 Ru3'
_symmetry_space_group_name_H-M 'P m -3 m'
_symmetry_Int_Tables_number 221
_symmetry_space_group_name_Hall '-P 4 2 3'
_cell_length_a 4.598
_cell_length_b 4.598
_cell_length_c 4.598
_cell_angle_alpha 90.00
_cell_angle_beta 90.00
_cell_angle_gamma 90.00
loop_
_atom_site_label
_atom_site_fract_x
_atom_site_fract_y
_atom_site_fract_z
_atom_site_occupancy
Ca1 0.000 0.000 0.000 1
As1 0.500 0.500 0.500 1
Ru1 0.000 0.500 0.500 1
# Energy of formation from the pure elements   400 meV per atom
# Total moment   0.4 μB/cell

2.
# SiBO | Alexandria | PBE | optimized geometry
data_SiBO
_chemical_formula_sum 'Si2 B2 O2'
_symmetry_space_group_name_H-M 'P 1'
_symmetry_Int_Tables_number 1
_symmetry_space_group_name_Hall 'P 1'
_cell_length_a 3.243
_cell_length_b 4.421
_cell_length_c 5.078
_cell_angle_alpha 81.62
_cell_angle_beta 81.62
_cell_angle_gamma 85.32
loop_
_atom_site_label
_atom_site_fract_x
_atom_site_fract_y
_atom_site_fract_z
_atom_site_occupancy
Si1 0.000 0.000 0.000 1
Si2 0.413 0.472 0.327 1
B1 0.063 0.971 0.586 1
B2 0.937 0.225 0.317 1
O1 0.258 0.685 0.580 1
O2 0.485 0.777 0.060 1
# Total moment   0.0 μB/cell
# Raw formation energy   -937 meV per atom

3.
# Rb3SrAs2O8 | Alexandria | PBE | optimized geometry
data_Rb3SrAs2O8
_chemical_formula_sum 'Rb3 Sr1 As2 O8'
_symmetry_space_group_name_H-M 'P -3 m 1'
_symmetry_Int_Tables_number 164
_symmetry_space_group_name_Hall '-P 3 2"'
_cell_length_a 6.2371
_cell_length_b 6.2371
_cell_length_c 8.1422
_cell_angle_alpha 90.00
_cell_angle_beta 90.00
_cell_angle_gamma 120.00
loop_
_atom_site_label
_atom_site_fract_x
_atom_site_fract_y
_atom_site_fract_z
_atom_site_occupancy
Rb1 0.0000 0.0000 0.0000 1
Rb2 0.3333 0.6667 0.6963 1
Sr1 0.0000 0.0000 0.5000 1
As1 0.3333 0.6667 0.2446 1
O1 0.1829 0.3657 0.3152 1
O2 0.3333 0.6667 0.0336 1
# Total moment   1.1 μB/cell
# Raw formation energy   -1745 meV per atom

4.
# Dy4SnTe2Se | Alexandria | PBE | optimized geometry
data_Dy4SnTe2Se
_chemical_formula_sum 'Dy4 Sn1 Te2 Se1'
_symmetry_space_group_name_H-M 'P 1 2/m 1'
_symmetry_Int_Tables_number 10
_symmetry_space_group_name_Hall '-P 2y'
_cell_length_a 7.408
_cell_length_b 4.302
_cell_length_c 7.532
_cell_angle_alpha 90.00
_cell_angle_beta 109.42
_cell_angle_gamma 90.00
loop_
_atom_site_label
_atom_site_fract_x
_atom_site_fract_y
_atom_site_fract_z
_atom_site_occupancy
Dy1 0.237 0.000 0.226 1
Dy2 0.251 0.500 0.767 1
Sn1 0.500 0.000 0.000 1
Te1 0.000 0.000 0.500 1
Te2 0.500 0.500 0.500 1
Se1 0.000 0.500 0.000 1
# Total moment   0.0 μB/cell
# Raw formation energy   -1299 meV per atom

5.
# DyY2Tm | Alexandria | PBE | optimized geometry
data_DyY2Tm
_chemical_formula_sum 'Dy3 Y6 Tm3'
_symmetry_space_group_name_H-M 'R 3 m'
_symmetry_Int_Tables_number 160
_symmetry_space_group_name_Hall 'R 3 -2"'
_cell_length_a 3.5748
_cell_length_b 3.5748
_cell_length_c 34.2344
_cell_angle_alpha 90.00
_cell_angle_beta 90.00
_cell_angle_gamma 120.00
loop_
_atom_site_label
_atom_site_fract_x
_atom_site_fract_y
_atom_site_fract_z
_atom_site_occupancy
Dy1 0.0000 0.0000 0.0000 1
Y1 0.0000 0.0000 0.5828 1
Y2 0.0000 0.0000 0.7497 1
Tm1 0.0000 0.0000 0.1660 1
# Energy of formation from the pure elements   14 meV per atom
# Total moment   0.0 μB/cell

6.
# KBa3Ac | Alexandria | PBE | optimized geometry
data_KBa3Ac
_chemical_formula_sum 'K1 Ba3 Ac1'
_symmetry_space_group_name_H-M 'P m -3 m'
_symmetry_Int_Tables_number 221
_symmetry_space_group_name_Hall '-P 4 2 3'
_cell_length_a 7.173
_cell_length_b 7.173
_cell_length_c 7.173
_cell_angle_alpha 90.00
_cell_angle_beta 90.00
_cell_angle_gamma 90.00
loop_
_atom_site_label
_atom_site_fract_x
_atom_site_fract_y
_atom_site_fract_z
_atom_site_occupancy
K1 0.000 0.000 0.000 1
Ba1 0.000 0.500 0.500 1
Ac1 0.500 0.500 0.500 1
# Energy of formation from the pure elements   519 meV per atom
# Total moment   2.4 μB/cell

7.
# BaBr2 | Alexandria | PBE | optimized geometry
data_BaBr2
_chemical_formula_sum 'Ba4 Br8'
_symmetry_space_group_name_H-M 'C 1 2/m 1'
_symmetry_Int_Tables_number 12
_symmetry_space_group_name_Hall '-C 2y'
_cell_length_a 16.525
_cell_length_b 4.424
_cell_length_c 6.988
_cell_angle_alpha 90.00
_cell_angle_beta 114.31
_cell_angle_gamma 90.00
loop_
_atom_site_label
_atom_site_fract_x
_atom_site_fract_y
_atom_site_fract_z
_atom_site_occupancy
Ba1 0.132 0.000 0.100 1
Br1 0.016 0.500 0.259 1
Br2 0.213 0.000 0.725 1
# Total moment   0.0 μB/cell
# Raw formation energy   -2064 meV per atom

8.
# HfTiNbPd | Alexandria | PBE | optimized geometry
data_HfTiNbPd
_chemical_formula_sum 'Hf1 Ti1 Nb1 Pd1'
_symmetry_space_group_name_H-M 'P 4 m m'
_symmetry_Int_Tables_number 99
_symmetry_space_group_name_Hall 'P 4 -2'
_cell_length_a 3.285
_cell_length_b 3.285
_cell_length_c 6.625
_cell_angle_alpha 90.00
_cell_angle_beta 90.00
_cell_angle_gamma 90.00
loop_
_atom_site_label
_atom_site_fract_x
_atom_site_fract_y
_atom_site_fract_z
_atom_site_occupancy
Hf1 0.000 0.000 0.000 1
Ti1 0.000 0.000 0.500 1
Nb1 0.500 0.500 0.733 1
Pd1 0.500 0.500 0.254 1
# Energy of formation from the pure elements   -352 meV per atom
# Total moment   0.0 μB/cell

Number 1: VASP energy -6.50 eV per atom. Number 2: VASP energy -6.62 eV per atom. Number 3: VASP energy -5.57 eV per atom. Number 4: VASP energy -5.32 eV per atom. Number 5: VASP energy -5.49 eV per atom. Number 6: VASP energy -1.68 eV per atom. Number 7: VASP energy -3.82 eV per atom. Number 8: VASP energy -8.63 eV per atom.